Record 1
VASP calculation (PBE-GGA) on Ho2Co2Sn after structural relaxation.

Cell and atoms, written as POSCAR:
```
Ho2Co2Sn
1.0
-0.837 2.704 -4.645
-4.319 -1.597 3.034
2.132 6.597 3.457
Ho Co Sn
4 4 2
direct
0.498 0.295 0.148
0.203 0.705 0.352
0.502 0.705 0.852
0.797 0.295 0.648
0.701 0.703 0.498
0.998 0.297 0.002
0.299 0.297 0.502
0.002 0.703 0.998
0.854 0.000 0.250
0.146 0.000 0.750
```

## Properties
**D(E_F)**: 9.1 states/eV/cell
**Spin magnetization**: 0.5 μB/f.u.
**Raw total energy**: -5.904 eV/atom

Record 2
VASP calculation (PBE-GGA) on LaAl2Ag after structural relaxation.

Cell and atoms, written as POSCAR:
```
LaAl2Ag
1.0
-1.113 -1.058 2.755
1.790 -3.049 -0.448
6.013 3.004 3.582
Al Ag La
2 1 1
direct
0.000 0.000 0.949
0.000 0.000 0.551
0.500 0.500 0.750
0.500 0.500 0.250
```

## Properties
**D(E_F)**: 1.4 states/eV/cell
**Spin magnetization**: 0.0 μB/f.u.
**Distance to the lowest polymorph of the same formula**: 0.179 eV/atom

Record 3
VASP calculation (PBE-GGA) on Sm5DyHoSc2 after structural relaxation.

Cell and atoms, written as POSCAR:
```
Sm5DyHoSc2
1.0
5.653 0.000 0.000
-2.827 10.842 0.000
0.000 0.000 9.424
Sm Dy Ho Sc
10 2 2 4
direct
0.392 0.784 0.047
0.733 0.466 0.828
0.467 0.935 0.748
0.304 0.608 0.718
0.988 0.976 0.509
0.608 0.216 0.547
0.267 0.534 0.328
0.533 0.065 0.248
0.696 0.392 0.218
0.012 0.024 0.009
0.817 0.633 0.518
0.183 0.367 0.018
0.599 0.198 0.921
0.401 0.802 0.421
0.885 0.771 0.828
0.132 0.265 0.706
0.115 0.229 0.328
0.868 0.735 0.206
```

## Properties
**D(E_F)**: 27.2 states/eV/cell
**Spin magnetization**: 0.0 μB/f.u.
**Raw total energy**: -4.885 eV/atom

Record 4
VASP calculation (PBE-GGA) on Ir2AuCl after structural relaxation.

Cell and atoms, written as POSCAR:
```
Ir2AuCl
1.0
2.767 0.000 0.000
0.000 5.077 0.000
0.000 0.000 4.684
Ir Au Cl
2 1 1
direct
0.000 0.000 0.000
0.500 0.500 0.000
0.500 0.000 0.500
0.000 0.500 0.500
```

## Properties
**D(E_F)**: 4.9 states/eV/cell
**Formation energy without anion corrections**: 0.848 eV per atom
**Spin magnetization**: 0.0 μB/f.u.
**Distance to the lowest polymorph of the same formula**: 0.523 eV/atom

Record 5
VASP calculation (PBE-GGA) on LaReSn2Au after structural relaxation.

Cell and atoms, written as POSCAR:
```
LaReSn2Au
1.0
5.984 0.000 0.000
0.000 5.984 0.000
0.000 0.000 5.431
Re Au Sn La
1 1 2 1
direct
0.500 0.500 0.500
0.000 0.000 0.500
0.000 0.500 0.000
0.500 0.000 0.000
0.000 0.000 0.000
```

## Properties
**D(E_F)**: 4.3 states/eV/cell
**Spin magnetization**: 4.2 μB/f.u.
**Raw total energy**: -3.969 eV/atom

Record 6
VASP calculation (PBE-GGA) on KScCuAg2 after structural relaxation.

Cell and atoms, written as POSCAR:
```
KScCuAg2
1.0
5.293 0.000 0.000
0.000 5.588 0.000
0.000 0.000 5.293
Sc K Cu Ag
1 1 1 2
direct
0.000 0.500 0.000
0.000 0.000 0.000
0.500 0.500 0.500
0.000 0.000 0.500
0.500 0.000 0.000
```

## Properties
**D(E_F)**: 4.7 states/eV/cell
**Spin magnetization**: 1.3 μB/f.u.
**Raw total energy**: -1.872 eV/atom

Record 7
VASP calculation (PBE-GGA) on VCuPd6 after structural relaxation.

Cell and atoms, written as POSCAR:
```
VCuPd6
1.0
3.896 0.000 0.000
0.000 3.896 0.000
0.000 0.000 7.750
V Cu Pd
1 1 6
direct
0.000 0.000 0.500
0.000 0.000 0.000
0.500 0.500 0.000
0.500 0.500 0.500
0.500 0.000 0.256
0.500 0.000 0.744
0.000 0.500 0.256
0.000 0.500 0.744
```

## Properties
**D(E_F)**: 9.5 states/eV/cell
**Spin magnetization**: 0.0 μB/f.u.
**Distance to the lowest polymorph of the same formula**: 0.000 eV/atom

Record 8
VASP calculation (PBE-GGA) on LiW2Se after structural relaxation.

Cell and atoms, written as POSCAR:
```
LiW2Se
1.0
-3.540 3.373 3.904
-6.052 0.019 1.589
5.418 -3.013 -0.847
Li Se W
1 1 2
direct
0.750 0.250 0.500
0.250 0.750 0.500
0.051 0.051 0.000
0.449 0.449 0.000
```

## Properties
**D(E_F)**: 2.3 states/eV/cell
**Formation energy without anion corrections**: 0.251 eV per atom
**Spin magnetization**: 0.0 μB/f.u.

Record 9
VASP calculation (PBE-GGA) on Ba2CuHg after structural relaxation.

Cell and atoms, written as POSCAR:
```
Ba2CuHg
1.0
4.870 0.000 0.000
0.000 4.856 0.000
0.000 0.000 6.911
Ba Cu Hg
2 1 1
direct
0.000 0.000 0.876
0.500 0.500 0.374
0.000 0.000 0.377
0.500 0.500 0.873
```

## Properties
**D(E_F)**: 2.7 states/eV/cell
**Spin magnetization**: 0.0 μB/f.u.
**Raw total energy**: -2.180 eV/atom

Record 10
VASP calculation (PBE-GGA) on V2OsN after structural relaxation.

Cell and atoms, written as POSCAR:
```
V2OsN
1.0
-3.606 1.326 -4.256
-2.391 -5.195 0.407
-5.062 -0.821 0.171
V Os N
4 2 2
direct
0.543 0.125 0.250
0.207 0.625 0.250
0.375 0.457 0.750
0.875 0.793 0.750
0.000 0.000 0.000
0.750 0.250 0.500
0.500 0.500 0.000
0.250 0.750 0.500
```

## Properties
**D(E_F)**: 10.2 states/eV/cell
**Formation energy without anion corrections**: -0.048 eV per atom
**Spin magnetization**: 0.0 μB/f.u.

Record 11
VASP calculation (PBE-GGA) on VAgSb2 after structural relaxation.

Cell and atoms, written as POSCAR:
```
VAgSb2
1.0
-1.064 4.598 4.094
-5.060 1.713 -3.239
-6.480 -0.614 3.773
Sb Ag V
4 2 2
direct
0.595 0.125 0.250
0.155 0.625 0.250
0.375 0.405 0.750
0.875 0.845 0.750
0.000 0.000 0.000
0.750 0.250 0.500
0.500 0.500 0.000
0.250 0.750 0.500
```

## Properties
**D(E_F)**: 3.8 states/eV/cell
**Formation energy without anion corrections**: 0.470 eV per atom
**Spin magnetization**: 0.0 μB/f.u.

Record 12
VASP calculation (PBE-GGA) on GdPaPt after structural relaxation.

Cell and atoms, written as POSCAR:
```
GdPaPt
1.0
4.875 0.000 0.000
2.437 4.222 0.000
2.437 1.407 3.980
Gd Pa Pt
1 1 1
direct
0.000 0.000 0.000
0.500 0.500 0.500
0.250 0.250 0.250
```

## Properties
**D(E_F)**: 8.1 states/eV/cell
**Spin magnetization**: 8.4 μB/f.u.
**Distance to the lowest polymorph of the same formula**: 0.216 eV/atom

Repeat the tenth record exactly.
VASP calculation (PBE-GGA) on V2OsN after structural relaxation.

Cell and atoms, written as POSCAR:
```
V2OsN
1.0
-3.606 1.326 -4.256
-2.391 -5.195 0.407
-5.062 -0.821 0.171
V Os N
4 2 2
direct
0.543 0.125 0.250
0.207 0.625 0.250
0.375 0.457 0.750
0.875 0.793 0.750
0.000 0.000 0.000
0.750 0.250 0.500
0.500 0.500 0.000
0.250 0.750 0.500
```

## Properties
**D(E_F)**: 10.2 states/eV/cell
**Formation energy without anion corrections**: -0.048 eV per atom
**Spin magnetization**: 0.0 μB/f.u.